Record 1
A plane-wave DFT calculation with PBE-GGA was carried out for an optimized crystal structure of KInGeS4.

abc: 8.597 12.602 7.586
angles: 90.00 90.00 90.00
Space group Cmcm (No. 63)
Unique sites:
K (0.000, 0.000, 0.000) (multiplicity 4)
In (0.000, 0.374, 0.250) (multiplicity 4)
Ge (0.000, 0.367, 0.750) (multiplicity 4)
S (0.000, 0.258, 0.517) (multiplicity 8)
S (0.201, 0.481, 0.750) (multiplicity 8)

Summary:
**Formation energy without anion corrections**: -663 meV/atom

---

Record 2
A plane-wave DFT calculation with PBE-GGA was carried out for an optimized crystal structure of La5Sm3Ag2.

abc: 13.688 13.952 7.014
angles: 90.00 90.00 90.00
Space group Ibam (No. 72)
Unique sites:
La (0.000, 0.000, 0.250) (multiplicity 4)
La (0.000, 0.244, 0.250) (multiplicity 8)
La (0.167, 0.132, 0.000) (multiplicity 8)
Sm (0.000, 0.500, 0.250) (multiplicity 4)
Sm (0.237, 0.391, 0.000) (multiplicity 8)
Ag (0.127, 0.383, 0.500) (multiplicity 8)

---

Record 3
A plane-wave DFT calculation with PBE-GGA was carried out for an optimized crystal structure of CaReSb2.

abc: 3.771 4.756 4.826
angles: 90.00 90.00 90.00
Space group Pmmm (No. 47)
Unique sites:
Ca (0.000, 0.000, 0.000) (multiplicity 1)
Re (0.000, 0.500, 0.500) (multiplicity 1)
Sb (0.500, 0.000, 0.500) (multiplicity 1)
Sb (0.500, 0.500, 0.000) (multiplicity 1)

Summary:
**Energy relative to the lowest polymorph listed for this composition**: 365.7 meV per atom
**Formation energy without anion corrections**: 338 meV/atom

---

Record 4
A plane-wave DFT calculation with PBE-GGA was carried out for an optimized crystal structure of SrCaAc.

abc: 6.4759 6.4759 7.6915
angles: 90.00 90.00 120.00
Space group P6_3/mmc (No. 194)
Unique sites:
Sr (0.3333, 0.6667, 0.2500) (multiplicity 2)
Ca (0.0000, 0.0000, 0.0000) (multiplicity 2)
Ac (0.3333, 0.6667, 0.7500) (multiplicity 2)

Summary:
**Energy relative to the lowest polymorph listed for this composition**: 149.7 meV per atom

---

Summary of DFT total energy in eV for the cell shown
-118.42 -172.58 -21.34 -14.50
(order as listed above)
Summary of magnetization in μB per cell
0.0 0.0 0.0 0.0
(order as listed above)